DFT (PBE-GGA) results for a geometry-optimized CaLa2Zn2 structure.

Cell lengths 3.680, 5.385, 14.420 Å; angles 90.00, 97.38, 90.00 degrees
Positions (direct):
Ca1 0.858 0.750 0.718
Ca2 0.142 0.250 0.282
La1 0.046 0.750 0.093
La2 0.954 0.250 0.907
La3 0.229 0.750 0.459
La4 0.771 0.250 0.541
Zn1 0.639 0.750 0.277
Zn2 0.361 0.250 0.723
Zn3 0.451 0.750 0.902
Zn4 0.549 0.250 0.098

Values from the calculation:
* density: 5.26 g/cm³
* calculated total energy: -30.882 eV per cell
* formation enthalpy at 0 K: -207.3 meV per atom
* space-group type: P2_1/m (11)
* offset from the most stable computed form: 1 meV per atom